# 1
Compound: CaCd2Cu
Source: the Alexandria database
Functional: GGA-PBE
Structure: optimized geometry

Energy of formation from the pure elements   0.076 eV/atom
Magnetization   0.00 Bohr magnetons per cell
Uncorrected energy   -7.624 eV/f.u.

Lattice parameters (Å, degrees): 5.9265 10.5705 3.2165 90.00 115.01 90.00
Closest atoms and distances in Å follow each position.
Space group C2/m (No. 12)
One atom of each set of equivalent atoms:
Ca  0.0000  0.0000  0.0000 (multiplicity 2)  2 Cu 2.96, 4 Cd 3.12, 2 Ca 3.22
Cd  0.2500  0.2500  0.5000 (multiplicity 4)  4 Cd 2.96-3.22, 2 Ca 3.12, 2 Cu 3.12
Cu  0.0000  0.5000  0.0000 (multiplicity 2)  2 Ca 2.96, 4 Cd 3.12, 2 Cu 3.22

# 2
Compound: La2SiSeCl
Source: the Alexandria database
Functional: GGA-PBE
Structure: optimized geometry

Formation energy (no corrections)   -0.616 eV per atom
Magnetization   0.00 Bohr magnetons per cell
Uncorrected energy   -23.687 eV/f.u.

Lattice parameters (Å, degrees): 5.5337 5.5337 4.4385 90.00 90.00 90.00
Closest atoms and distances in Å follow each position.
Space group P4/mmm (No. 123)
One atom of each set of equivalent atoms:
La  0.0000  0.5000  0.0000 (multiplicity 2)  2 Cl 2.77
Si  0.0000  0.0000  0.5000 (multiplicity 1)  2 Cl 2.22
Se  0.5000  0.5000  0.5000 (multiplicity 1)  8 La 3.55, 4 Si 3.91
Cl  0.0000  0.0000  0.0000 (multiplicity 1)  2 Si 2.22

# 3
Compound: PuCu4Rh
Source: the Alexandria database
Functional: GGA-PBE
Structure: optimized geometry

Energy of formation from the pure elements   -0.093 eV/atom
Magnetization   19.77 Bohr magnetons per cell
Uncorrected energy   -38.628 eV/f.u.

Lattice parameters (Å, degrees): 7.0699 7.0699 7.0699 90.00 90.00 90.00
Closest atoms and distances in Å follow each position.
Space group F-43m (No. 216)
One atom of each set of equivalent atoms:
Pu  0.0000  0.0000  0.0000 (multiplicity 4)  12 Cu 2.93, 4 Rh 3.06
Cu  0.1240  0.1240  0.3760 (multiplicity 16)  6 Cu 2.48-2.52
Rh  0.2500  0.2500  0.7500 (multiplicity 4)  12 Cu 2.93, 4 Pu 3.06

- What is the formula in the second record?
  La2SiSeCl